#w
Zr2TiSn2, optimized geometry, DFT PBE-GGA; V = 220.46 Å³ per cell
1.0
7.431 0.000 0.000
0.000 7.431 0.000
0.000 0.000 3.993
Zr Ti Sn
4 2 4
Direct
0.166 0.334 0.000
0.334 0.834 0.000
0.666 0.166 0.000
0.834 0.666 0.000
0.000 0.000 0.500
0.500 0.500 0.500
0.139 0.639 0.500
0.361 0.139 0.500
0.639 0.861 0.500
0.861 0.361 0.500



#x
Zr2TiSn2, optimized geometry, DFT PBE-GGA; V = 220.30 Å³ per cell
1.0
2.402 -7.853 0.000
2.402 7.853 0.000
0.000 0.000 5.840
Zr Ti Sn
4 2 4
Direct
0.000 0.000 0.000
0.000 0.000 0.500
0.195 0.805 0.750
0.805 0.195 0.250
0.398 0.602 0.750
0.602 0.398 0.250
0.184 0.816 0.250
0.420 0.580 0.250
0.580 0.420 0.750
0.816 0.184 0.750



Most stable structure, least stable structure: #w, #x.



#w
ZrTiSn2, optimized geometry, DFT PBE-GGA; V = 342.35 Å³ per cell
1.0
6.996 0.000 0.000
0.000 6.996 0.000
0.000 0.000 6.996
Zr Ti Sn
4 4 8
Direct
0.000 0.000 0.000
0.000 0.500 0.500
0.500 0.000 0.500
0.500 0.500 0.000
0.000 0.000 0.500
0.000 0.500 0.000
0.500 0.000 0.000
0.500 0.500 0.500
0.250 0.250 0.250
0.250 0.250 0.750
0.250 0.750 0.250
0.250 0.750 0.750
0.750 0.250 0.250
0.750 0.250 0.750
0.750 0.750 0.250
0.750 0.750 0.750



#x
ZrTiSn2, optimized geometry, DFT PBE-GGA; V = 84.39 Å³ per cell
1.0
4.461 0.000 0.000
0.000 4.461 0.000
0.000 0.000 4.241
Zr Ti Sn
1 1 2
Direct
0.000 0.000 0.000
0.500 0.500 0.000
0.000 0.500 0.500
0.500 0.000 0.500



Most stable structure, least stable structure: #x, #w.



#w
ZrTiSn2, optimized geometry, DFT PBE-GGA; V = 84.30 Å³ per cell
1.0
3.179 0.000 0.000
0.000 3.179 0.000
0.000 0.000 8.341
Zr Ti Sn
1 1 2
Direct
0.000 0.000 0.000
0.000 0.000 0.500
0.500 0.500 0.263
0.500 0.500 0.737



#x
ZrTiSn2, optimized geometry, DFT PBE-GGA; V = 366.04 Å³ per cell
1.0
7.728 0.000 0.000
0.000 7.728 0.000
0.000 0.000 6.130
Zr Ti Sn
4 4 8
Direct
0.000 0.000 0.000
0.000 0.500 0.250
0.500 0.000 0.750
0.500 0.500 0.500
0.000 0.000 0.500
0.000 0.500 0.750
0.500 0.000 0.250
0.500 0.500 0.000
0.236 0.250 0.625
0.250 0.736 0.875
0.250 0.764 0.375
0.264 0.250 0.125
0.736 0.750 0.125
0.750 0.236 0.375
0.750 0.264 0.875
0.764 0.750 0.625



Most stable structure, least stable structure: #w, #x.



#w
ZrTi3Sn3, optimized geometry, DFT PBE-GGA; V = 284.27 Å³ per cell
1.0
8.142 0.000 0.000
-4.071 7.051 0.000
0.000 0.000 4.952
Zr Ti Sn
2 6 6
Direct
0.333 0.667 0.250
0.667 0.333 0.750
0.028 0.224 0.250
0.196 0.972 0.250
0.224 0.196 0.750
0.776 0.804 0.250
0.804 0.028 0.750
0.972 0.776 0.750
0.074 0.438 0.750
0.364 0.926 0.750
0.438 0.364 0.250
0.562 0.636 0.750
0.636 0.074 0.250
0.926 0.562 0.250



#x
ZrTi3Sn3, optimized geometry, DFT PBE-GGA; V = 280.37 Å³ per cell
1.0
5.049 -2.008 0.000
5.049 2.008 0.000
-1.593 0.000 13.827
Zr Ti Sn
2 6 6
Direct
0.000 0.000 0.000
0.000 0.000 0.500
0.129 0.129 0.724
0.288 0.288 0.927
0.411 0.411 0.646
0.589 0.589 0.354
0.712 0.712 0.073
0.871 0.871 0.276
0.146 0.146 0.214
0.299 0.299 0.418
0.415 0.415 0.134
0.585 0.585 0.866
0.701 0.701 0.582
0.854 0.854 0.786



Most stable structure, least stable structure: #x, #w.



#w
ZrTi5Sn3, optimized geometry, DFT PBE-GGA; V = 368.01 Å³ per cell
1.0
-3.404 3.404 7.941
3.404 -3.404 7.941
3.404 3.404 -7.941
Zr Ti Sn
2 10 6
Direct
0.250 0.750 0.500
0.750 0.250 0.500
0.000 0.000 0.000
0.056 0.556 0.867
0.189 0.056 0.500
0.311 0.811 0.867
0.444 0.311 0.500
0.500 0.500 0.000
0.556 0.689 0.500
0.689 0.189 0.133
0.811 0.944 0.500
0.944 0.444 0.133
0.137 0.363 0.500
0.250 0.250 0.000
0.363 0.863 0.225
0.637 0.137 0.775
0.750 0.750 0.000
0.863 0.637 0.500



#x
ZrTi5Sn3, optimized geometry, DFT PBE-GGA; V = 341.43 Å³ per cell
1.0
8.300 0.000 0.000
-4.150 7.188 0.000
0.000 0.000 5.723
Zr Ti Sn
2 10 6
Direct
0.000 0.000 0.000
0.000 0.000 0.500
0.000 0.335 0.250
0.000 0.665 0.750
0.333 0.667 0.000
0.333 0.667 0.500
0.335 0.000 0.250
0.335 0.335 0.750
0.665 0.000 0.750
0.665 0.665 0.250
0.667 0.333 0.000
0.667 0.333 0.500
0.000 0.337 0.750
0.000 0.663 0.250
0.337 0.000 0.750
0.337 0.337 0.250
0.663 0.000 0.250
0.663 0.663 0.750



Most stable structure, least stable structure: #x, #w.



#w
Tl4Sn3, optimized geometry, DFT PBE-GGA; V = 419.16 Å³ per cell
1.0
3.516 0.000 0.000
0.000 4.449 0.000
0.000 0.000 26.795
Tl Sn
8 6
Direct
0.000 0.000 0.067
0.000 0.000 0.354
0.000 0.000 0.646
0.000 0.000 0.933
0.500 0.500 0.146
0.500 0.500 0.433
0.500 0.500 0.567
0.500 0.500 0.854
0.000 0.000 0.221
0.000 0.000 0.500
0.000 0.000 0.779
0.500 0.500 0.000
0.500 0.500 0.279
0.500 0.500 0.721



#x
Tl4Sn3, optimized geometry, DFT PBE-GGA; V = 458.66 Å³ per cell
1.0
8.078 0.000 0.000
0.000 4.612 0.000
-2.412 0.000 12.312
Tl Sn
8 6
Direct
0.070 0.000 0.207
0.207 0.000 0.625
0.293 0.500 0.375
0.430 0.500 0.793
0.570 0.500 0.207
0.707 0.500 0.625
0.793 0.000 0.375
0.930 0.000 0.793
0.000 0.500 0.500
0.151 0.500 0.949
0.349 0.000 0.051
0.500 0.000 0.500
0.651 0.000 0.949
0.849 0.500 0.051



Most stable structure, least stable structure: #w, #x.



#w
Tl4Sn, optimized geometry, DFT PBE-GGA; V = 200.64 Å³ per cell
1.0
5.854 0.000 0.000
0.000 5.854 0.000
0.000 0.000 5.854
Tl Sn
4 1
Direct
0.000 0.000 0.000
0.000 0.500 0.500
0.500 0.000 0.500
0.500 0.500 0.000
0.500 0.500 0.500



#x
Tl4Sn, optimized geometry, DFT PBE-GGA; V = 313.30 Å³ per cell
1.0
4.432 -7.858 0.000
4.432 7.858 0.000
-4.127 0.000 4.498
Tl Sn
8 2
Direct
0.017 0.209 0.112
0.181 0.560 0.872
0.209 0.017 0.612
0.440 0.819 0.628
0.560 0.181 0.372
0.791 0.983 0.388
0.819 0.440 0.128
0.983 0.791 0.888
0.498 0.502 0.750
0.502 0.498 0.250



#y
Tl4Sn, optimized geometry, DFT PBE-GGA; V = 300.97 Å³ per cell
1.0
3.340 0.000 0.000
0.000 5.228 0.000
0.000 0.000 17.236
Tl Sn
8 2
Direct
0.000 0.000 0.098
0.000 0.000 0.301
0.000 0.000 0.699
0.000 0.000 0.902
0.500 0.500 0.199
0.500 0.500 0.402
0.500 0.500 0.598
0.500 0.500 0.801
0.000 0.000 0.500
0.500 0.500 0.000



Most stable structure, least stable structure: #y, #w.



#w
Tl7Sn, optimized geometry, DFT PBE-GGA; V = 488.20 Å³ per cell
1.0
5.403 0.000 0.000
0.000 5.403 0.000
0.000 0.000 16.725
Tl Sn
14 2
Direct
0.000 0.000 0.000
0.000 0.000 0.251
0.000 0.000 0.749
0.000 0.500 0.121
0.000 0.500 0.379
0.000 0.500 0.621
0.000 0.500 0.879
0.500 0.000 0.121
0.500 0.000 0.379
0.500 0.000 0.621
0.500 0.000 0.879
0.500 0.500 0.249
0.500 0.500 0.500
0.500 0.500 0.751
0.000 0.000 0.500
0.500 0.500 0.000



#x
Tl7Sn, optimized geometry, DFT PBE-GGA; V = 240.18 Å³ per cell
1.0
0.000 4.934 4.934
4.934 0.000 4.934
4.934 4.934 0.000
Tl Sn
7 1
Direct
0.000 0.000 0.000
0.000 0.000 0.500
0.000 0.500 0.000
0.000 0.500 0.500
0.500 0.000 0.000
0.500 0.000 0.500
0.500 0.500 0.000
0.500 0.500 0.500



Most stable structure, least stable structure: #w, #x.



#w
TlSn2, optimized geometry, DFT PBE-GGA; V = 181.22 Å³ per cell
1.0
0.000 4.491 4.491
4.491 0.000 4.491
4.491 4.491 0.000
Tl Sn
2 4
Direct
0.125 0.125 0.125
0.875 0.875 0.875
0.000 0.500 0.500
0.500 0.000 0.500
0.500 0.500 0.000
0.500 0.500 0.500



#x
TlSn2, optimized geometry, DFT PBE-GGA; V = 174.72 Å³ per cell
1.0
3.489 0.000 0.000
0.000 3.489 0.000
0.000 0.000 14.353
Tl Sn
2 4
Direct
0.000 0.000 0.000
0.500 0.500 0.500
0.000 0.000 0.324
0.000 0.000 0.676
0.500 0.500 0.176
0.500 0.500 0.824



Most stable structure, least stable structure: #x, #w.



#w
TlSn4, optimized geometry, DFT PBE-GGA; V = 320.54 Å³ per cell
1.0
3.900 -5.284 0.000
3.900 5.284 0.000
0.000 0.000 7.778
Tl Sn
2 8
Direct
0.250 0.750 0.750
0.750 0.250 0.250
0.114 0.886 0.250
0.250 0.250 0.000
0.250 0.250 0.500
0.385 0.615 0.250
0.615 0.385 0.750
0.750 0.750 0.000
0.750 0.750 0.500
0.886 0.114 0.750



#x
TlSn4, optimized geometry, DFT PBE-GGA; V = 289.02 Å³ per cell
1.0
3.293 0.000 0.000
0.000 5.269 0.000
0.000 0.000 16.657
Tl Sn
2 8
Direct
0.000 0.000 0.000
0.500 0.500 0.500
0.000 0.000 0.198
0.000 0.000 0.385
0.000 0.000 0.615
0.000 0.000 0.802
0.500 0.500 0.115
0.500 0.500 0.302
0.500 0.500 0.698
0.500 0.500 0.885



#y
TlSn4, optimized geometry, DFT PBE-GGA; V = 182.56 Å³ per cell
1.0
5.673 0.000 0.000
0.000 5.673 0.000
0.000 0.000 5.673
Tl Sn
1 4
Direct
0.000 0.000 0.000
0.000 0.000 0.500
0.000 0.500 0.000
0.500 0.000 0.000
0.500 0.500 0.500



Most stable structure, least stable structure: #x, #y.